## LiFeOs2 (PBE-GGA)

Data for a relaxed structure of LiFeOs2.

a = 2.6784 Å, b = 4.3874 Å, c = 9.5088 Å
α = 90.00°, β = 90.00°, γ = 90.00°
Closest atoms and distances in Å follow each position.
Space group Immm (No. 71)
Symmetry-distinct sites (fractional):
Li  0.0000  0.0000  0.0000 x2  4 Fe 2.57, 2 Li 2.68
Fe  0.0000  0.0000  0.5000 x2  4 Os 2.47, 4 Li 2.57, 2 Fe 2.68
Os  0.0000  0.5000  0.2178 x4  2 Fe 2.47, 6 Os 2.64-2.68

Computed properties:
- D(E_F): 5.1 states/eV/cell
- Magnetization: 1.89 μB/f.u.
- Energy above the most stable polymorph in this dataset: 0.154 eV/f.u.
- Volume: 112 Å³/cell

---

## Ac6GaNi3 (PBE-GGA)

Data for a relaxed structure of Ac6GaNi3.

a = 11.5163 Å, b = 4.0642 Å, c = 14.5101 Å
α = 90.00°, β = 108.15°, γ = 90.00°
Closest atoms and distances in Å follow each position.
Space group P2_1/m (No. 11)
Symmetry-distinct sites (fractional):
Ac  0.0251  0.2500  0.1200 x2  3 Ni 2.90-2.97
Ac  0.0629  0.7500  0.4073 x2  3 Ni 3.02-3.13
Ac  0.2283  0.2500  0.8021 x2  3 Ni 2.94-3.09, 2 Ga 3.28
Ac  0.3374  0.2500  0.5951 x2  5 Ni 3.07-3.22
Ac  0.3450  0.2500  0.3240 x2  3 Ni 2.98-3.15
Ac  0.3546  0.7500  0.0603 x2  2 Ni 2.99, 2 Ga 3.27
Ga  0.4489  0.7500  0.7954 x2  7 Ac 3.27-3.45, 1 Ni 3.59
Ni  0.1411  0.7500  0.6341 x2  7 Ac 3.02-3.22
Ni  0.1590  0.2500  0.9804 x2  6 Ac 2.90-2.99
Ni  0.4367  0.7500  0.4801 x2  2 Ni 2.46

Computed properties:
- D(E_F): 20.5 states/eV/cell
- Magnetization: 0.00 μB/f.u.
- VASP energy: -4.703 eV/atom
- Volume: 645 Å³/cell

---

## BaTiCd (PBE-GGA)

Data for a relaxed structure of BaTiCd.

a = 5.1162 Å, b = 12.4472 Å, c = 5.8359 Å
α = 90.00°, β = 90.00°, γ = 90.00°
Closest atoms and distances in Å follow each position.
Space group Cmcm (No. 63)
Symmetry-distinct sites (fractional):
Ba  0.0000  0.2245  0.2500 x4  1 Ti 3.26
Ti  0.0000  0.0371  0.7500 x4  4 Cd 2.98, 2 Ti 3.06, 1 Ba 3.26
Cd  0.0000  0.5000  0.0000 x4  2 Cd 2.92, 4 Ti 2.98

Computed properties:
- D(E_F): 13.7 states/eV/cell
- Magnetization: 2.08 μB/f.u.
- Energy above the most stable polymorph in this dataset: 0.174 eV/f.u.
- Volume: 372 Å³/cell

---

## Ca12InNi6 (PBE-GGA)

Data for a relaxed structure of Ca12InNi6.

a = 10.1329 Å, b = 10.1329 Å, c = 10.1329 Å
α = 90.00°, β = 90.00°, γ = 90.00°
Closest atoms and distances in Å follow each position.
Space group Im-3 (No. 204)
Symmetry-distinct sites (fractional):
Ca  0.0000  0.1840  0.3070 x24  3 Ni 2.84-2.94
In  0.0000  0.0000  0.0000 x2  12 Ca 3.63
Ni  0.0000  0.3867  0.5000 x12  1 Ni 2.30

Computed properties:
- D(E_F): 38.7 states/eV/cell
- Magnetization: 0.88 μB/f.u.
- VASP energy: -3.355 eV/atom
- Volume: 1040 Å³/cell

---

## Ca2YPd4 (PBE-GGA)

Data for a relaxed structure of Ca2YPd4.

a = 7.5676 Å, b = 7.5888 Å, c = 11.0156 Å
α = 90.00°, β = 90.00°, γ = 90.00°
Closest atoms and distances in Å follow each position.
Space group Fmmm (No. 69)
Symmetry-distinct sites (fractional):
Ca  0.0000  0.0000  0.1825 x8  4 Pd 2.75
Y  0.0000  0.0000  0.5000 x4  8 Pd 3.01
Pd  0.2500  0.2500  0.1244 x16  2 Pd 2.74-2.77, 2 Ca 2.75, 2 Y 3.01

Computed properties:
- D(E_F): 10.5 states/eV/cell
- Magnetization: 0.00 μB/f.u.
- VASP energy: -5.043 eV/atom
- Volume: 633 Å³/cell

---

## ZnGe2SbTe (PBE-GGA)

Data for a relaxed structure of ZnGe2SbTe.

a = 4.8332 Å, b = 4.8332 Å, c = 5.4834 Å
α = 90.00°, β = 90.00°, γ = 90.00°
Closest atoms and distances in Å follow each position.
Space group P4/mmm (No. 123)
Symmetry-distinct sites (fractional):
Zn  0.0000  0.0000  0.0000 x1  4 Ge 2.42
Ge  0.0000  0.5000  0.0000 x2  2 Zn 2.42
Sb  0.5000  0.5000  0.5000 x1  4 Te 3.42, 8 Ge 3.65
Te  0.0000  0.0000  0.5000 x1  2 Zn 2.74

Computed properties:
- D(E_F): 2.9 states/eV/cell
- Raw formation energy: 0.49 eV/atom
- Magnetization: 0.00 μB/f.u.
- Volume: 128 Å³/cell

---

## TaMnAs (PBE-GGA)

Data for a relaxed structure of TaMnAs.

a = 3.4556 Å, b = 4.6639 Å, c = 11.7478 Å
α = 90.00°, β = 90.00°, γ = 90.00°
Closest atoms and distances in Å follow each position.
Space group Fmm2 (No. 42)
Symmetry-distinct sites (fractional):
Ta  0.0000  0.0000  0.0000 x4  2 Mn 2.67, 2 As 2.68, 4 Ta 2.90
Mn  0.0000  0.0000  0.3270 x4  2 As 2.49, 2 Ta 2.67
As  0.0000  0.0000  0.6741 x4  2 Mn 2.49, 2 Ta 2.68

Computed properties:
- D(E_F): 8.4 states/eV/cell
- Magnetization: 2.44 μB/f.u.
- VASP energy: -8.524 eV/atom
- Volume: 189 Å³/cell

---

## Al2ZnCr (PBE-GGA)

Data for a relaxed structure of Al2ZnCr.

a = 3.7245 Å, b = 3.7245 Å, c = 8.0167 Å
α = 90.00°, β = 90.00°, γ = 90.00°
Closest atoms and distances in Å follow each position.
Space group I4/mmm (No. 139)
Symmetry-distinct sites (fractional):
Al  0.0000  0.5000  0.2500 x4  4 Al 2.63, 4 Cr 2.74, 4 Zn 2.74
Zn  0.0000  0.0000  0.0000 x2  4 Cr 2.63, 8 Al 2.74
Cr  0.0000  0.0000  0.5000 x2  4 Zn 2.63, 8 Al 2.74

Computed properties:
- D(E_F): 0.9 states/eV/cell
- Magnetization: 0.00 μB/f.u.
- VASP energy: -4.674 eV/atom
- Volume: 111 Å³/cell

---

## NaBPd2 (PBE-GGA)

Data for a relaxed structure of NaBPd2.

a = 3.1577 Å, b = 3.1577 Å, c = 22.0212 Å
α = 90.00°, β = 90.00°, γ = 120.00°
Closest atoms and distances in Å follow each position.
Space group R-3m (No. 166, hexagonal axes)
Symmetry-distinct sites (fractional):
Na  0.0000  0.0000  0.0000 x3  6 Pd 3.12, 6 Na 3.16
B  0.0000  0.0000  0.5000 x3  6 Pd 2.15
Pd  0.0000  0.0000  0.2181 x6  3 B 2.15

Computed properties:
- D(E_F): 3.1 states/eV/cell
- Magnetization: 0.00 μB/f.u.
- VASP energy: -4.759 eV/atom
- Volume: 190 Å³/cell

---

## Nd3BiSN (PBE-GGA)

Data for a relaxed structure of Nd3BiSN.

a = 8.7631 Å, b = 4.2418 Å, c = 9.4984 Å
α = 90.00°, β = 102.91°, γ = 90.00°
Closest atoms and distances in Å follow each position.
Space group P2_1/m (No. 11)
Symmetry-distinct sites (fractional):
Nd  0.0696  0.2500  0.3495 x2  3 S 2.80-2.91
Nd  0.3355  0.2500  0.9800 x2  3 N 2.30-2.39
Nd  0.3915  0.7500  0.6564 x2  1 N 2.26
Bi  0.3118  0.7500  0.2770 x2  5 Nd 3.18-3.51
S  0.1577  0.2500  0.6517 x2  5 Nd 2.80-2.94
N  0.4061  0.7500  0.8970 x2  4 Nd 2.26-2.39

Computed properties:
- D(E_F): 5.5 states/eV/cell
- Raw formation energy: -1.34 eV/atom
- Magnetization: 0.00 μB/f.u.
- Volume: 344 Å³/cell

---

## Tl2Sn5Hg4 (PBE-GGA)

Data for a relaxed structure of Tl2Sn5Hg4.

a = 4.5839 Å, b = 8.5716 Å, c = 10.1020 Å
α = 66.47°, β = 77.06°, γ = 89.95°
Closest atoms and distances in Å follow each position.
Space group P-1 (No. 2)
Symmetry-distinct sites (fractional):
Tl  0.1875  0.3646  0.1244 x2  4 Hg 3.28-3.47, 2 Sn 3.44-3.47, 2 Tl 3.45-3.47
Sn  0.0000  0.5000  0.5000 x1  2 Sn 2.98, 4 Hg 3.01-3.02
Sn  0.1113  0.8684  0.2898 x2  1 Hg 2.89, 3 Sn 2.94-2.98
Sn  0.4098  0.9411  0.6677 x2  3 Sn 2.94-3.03, 2 Hg 3.08-3.17
Hg  0.2452  0.8457  0.0050 x2  2 Sn 2.89-3.08
Hg  0.4184  0.5728  0.6644 x2  3 Sn 3.01-3.17, 2 Tl 3.28-3.29

Computed properties:
- D(E_F): 3.9 states/eV/cell
- Magnetization: 0.00 μB/f.u.
- VASP energy: -2.294 eV/atom
- Volume: 353 Å³/cell

---

## CsSc3Rh (PBE-GGA)

Data for a relaxed structure of CsSc3Rh.

a = 5.2526 Å, b = 5.2526 Å, c = 5.2526 Å
α = 90.00°, β = 90.00°, γ = 90.00°
Closest atoms and distances in Å follow each position.
Space group Pm-3m (No. 221)
Symmetry-distinct sites (fractional):
Cs  0.0000  0.0000  0.0000 x1  12 Sc 3.71
Sc  0.0000  0.5000  0.5000 x3  2 Rh 2.63
Rh  0.5000  0.5000  0.5000 x1  6 Sc 2.63

Computed properties:
- D(E_F): 8.1 states/eV/cell
- Magnetization: 0.00 μB/f.u.
- Energy above the most stable polymorph in this dataset: 0.000 eV/f.u.
- Volume: 145 Å³/cell

---

> The highest magnetization belongs to which entry?

TaMnAs